Entry 1:
VASP calculation (PBE) on a relaxed RbTe2Se2 crystal.

raw formation energy = -0.223 eV/atom
D(E_F) = 5.760 states/eV per cell
volume = 32.0 Å³ per atom
distance to the lowest polymorph of the same formula = 116 meV per atom

a b c (Å): 9.2604 9.2604 3.7361
angles (deg): 90.00 90.00 90.00
Positions (direct):
Se1 0.2789 0.2211 0.5000
Se2 0.7789 0.2789 0.5000
Rb1 0.5000 0.5000 0.0000
Rb2 0.0000 0.0000 0.0000
Te1 0.1254 0.3746 0.0000
Te2 0.6254 0.1254 0.0000
Te3 0.3746 0.8746 0.0000
Se3 0.2211 0.7211 0.5000
Se4 0.7211 0.7789 0.5000
Te4 0.8746 0.6254 0.0000

=====

Entry 2:
VASP calculation (PBE) on a relaxed CsIn2Ag3 crystal.

D(E_F) = 6.444 states/eV per cell
volume = 28.5 Å³ per atom
formation energy from the elements = 0.0063 eV/atom

a b c (Å): 4.8846 7.7114 9.6978
angles (deg): 104.10 104.59 90.00
Positions (direct):
Ag1 0.9229 0.4442 0.8457
Ag2 0.0771 0.5558 0.1543
In1 0.7667 0.3034 0.5333
In2 0.5416 0.7071 0.0832
In3 0.2333 0.6966 0.4667
Cs1 0.1013 0.1246 0.2025
Ag3 0.7096 0.9164 0.4191
In4 0.4584 0.2929 0.9168
Ag4 0.3360 0.4722 0.6721
Ag5 0.6640 0.5278 0.3279
Cs2 0.8987 0.8754 0.7975
Ag6 0.2904 0.0836 0.5809

=====

Entry 3:
VASP calculation (PBE) on a relaxed Hf2Ga2Pb crystal.

D(E_F) = 8.205 states/eV per cell
volume = 21.4 Å³ per atom
distance to the lowest polymorph of the same formula = 0 meV per atom
formation energy from the elements = -0.0942 eV/atom

a b c (Å): 8.2670 8.2670 3.1362
angles (deg): 90.00 90.00 90.00
Positions (direct):
Hf1 0.3654 0.1346 0.5000
Ga1 0.8403 0.6597 0.0000
Hf2 0.6346 0.8654 0.5000
Hf3 0.1346 0.6346 0.5000
Hf4 0.8654 0.3654 0.5000
Pb1 0.5000 0.5000 0.0000
Ga2 0.1597 0.3403 0.0000
Ga3 0.3403 0.8403 0.0000
Pb2 0.0000 0.0000 0.0000
Ga4 0.6597 0.1597 0.0000